Record 1
The following is a DFT calculation (PBE) of TlAgAu2 after structural relaxation.

abc: 5.3420 5.3420 5.3420
angles: 132.98 133.02 68.65
Closest atoms and distances in Å follow each position.
Fractional positions:
Au (0.5002, 0.5002, 0.0000)  4 Au 3.01, 4 Ag 3.06-3.07, 4 Tl 3.07
Au (0.9998, 0.9998, 0.0000)  4 Au 3.01, 4 Ag 3.06-3.07, 4 Tl 3.07
Ag (0.2500, 0.7500, 0.5000)  4 Tl 3.01, 8 Au 3.06-3.07
Tl (0.7500, 0.2500, 0.5000)  4 Ag 3.01, 8 Au 3.07

Computed properties:
Its energy relative to the elements is 51 meV/atom. For the distance to the lowest polymorph of the same formula, the calculation gives 0.0 meV/atom. As for the space group: No. 139.

Record 2
The following is a DFT calculation (PBE) of TlAgAu2 after structural relaxation.

abc: 7.8985 7.8985 6.2573
angles: 50.87 50.87 90.00
Closest atoms and distances in Å follow each position.
Fractional positions:
Tl (0.7500, 0.2500, 0.5000)  2 Ag 2.82, 4 Au 2.94
Tl (0.0000, 0.0000, 0.0000)  2 Ag 2.82, 4 Au 2.94
Au (0.3750, 0.3859, 0.7500)  2 Ag 2.82, 2 Au 2.83, 2 Tl 2.94
Au (0.1359, 0.6250, 0.2500)  2 Ag 2.82, 2 Au 2.83, 2 Tl 2.94
Au (0.8750, 0.8641, 0.7500)  2 Ag 2.82, 2 Au 2.83, 2 Tl 2.94
Au (0.6141, 0.1250, 0.2500)  2 Ag 2.82, 2 Au 2.83, 2 Tl 2.94
Ag (0.2500, 0.7500, 0.5000)  2 Tl 2.82, 4 Au 2.82
Ag (0.5000, 0.5000, 0.0000)  2 Tl 2.82, 4 Au 2.82

Computed properties:
Its energy relative to the elements is 129 meV/atom. For the distance to the lowest polymorph of the same formula, the calculation gives 77.6 meV/atom. As for the space group: No. 122.

Record 3
The following is a DFT calculation (PBE) of Tl3AgAu8 after structural relaxation.

abc: 5.6789 5.6789 9.7853
angles: 73.13 73.13 60.00
Closest atoms and distances in Å follow each position.
Fractional positions:
Au (0.1882, 0.1882, 0.4354)  6 Au 2.78-2.80
Au (0.9388, 0.4423, 0.6801)  6 Au 2.80-2.86
Au (0.4423, 0.9388, 0.6801)  6 Au 2.80-2.86
Au (0.4367, 0.9347, 0.1920)  6 Au 2.78-2.88
Au (0.4367, 0.4367, 0.1920)  6 Au 2.78-2.88
Au (0.9388, 0.9388, 0.6801)  6 Au 2.80-2.86
Au (0.9347, 0.4367, 0.1920)  6 Au 2.78-2.88
Au (0.6884, 0.6884, 0.9349)  6 Au 2.86-2.88
Tl (0.3760, 0.3760, 0.8721)  12 Au 3.33-3.38, 4 Tl 3.49-3.55
Tl (0.5023, 0.5023, 0.4930)  12 Au 3.22-3.32, 3 Ag 3.45, 1 Tl 3.49
Tl (0.9931, 0.9931, 0.0208)  12 Au 3.25-3.55, 1 Ag 3.29, 3 Tl 3.55
Ag (0.8742, 0.8742, 0.3775)  12 Au 3.23-3.32, 4 Tl 3.29-3.45

Computed properties:
Its energy relative to the elements is 13 meV/atom. As for the space group: No. 160.

Record 4
The following is a DFT calculation (PBE) of TlAg6Au8 after structural relaxation.

abc: 7.9769 7.9769 7.1439
angles: 56.06 56.06 60.00
Closest atoms and distances in Å follow each position.
Fractional positions:
Au (0.8108, 0.1443, 0.5932)  4 Ag 2.76-3.04, 5 Au 2.79-2.93
Au (0.1892, 0.8557, 0.4068)  4 Ag 2.76-3.04, 5 Au 2.79-2.93
Au (0.5483, 0.1892, 0.4068)  4 Ag 2.76-3.04, 5 Au 2.79-2.93
Au (0.8557, 0.5483, 0.4068)  4 Ag 2.76-3.04, 5 Au 2.79-2.93
Au (0.4517, 0.8108, 0.5932)  4 Ag 2.76-3.04, 5 Au 2.79-2.93
Au (0.2223, 0.2223, 0.3330)  6 Au 2.79-2.93, 3 Ag 2.91
Au (0.1443, 0.4517, 0.5932)  4 Ag 2.76-3.04, 5 Au 2.79-2.93
Au (0.7777, 0.7777, 0.6670)  6 Au 2.79-2.93, 3 Ag 2.91
Ag (0.3500, 0.1522, 0.9067)  3 Ag 2.75-3.04, 5 Au 2.76-3.04
Ag (0.1522, 0.5911, 0.9067)  3 Ag 2.75-3.04, 5 Au 2.76-3.04
Ag (0.4089, 0.6500, 0.0933)  3 Ag 2.75-3.04, 5 Au 2.76-3.04
Ag (0.5911, 0.3500, 0.9067)  3 Ag 2.75-3.04, 5 Au 2.76-3.04
Ag (0.6500, 0.8478, 0.0933)  3 Ag 2.75-3.04, 5 Au 2.76-3.04
Ag (0.8478, 0.4089, 0.0933)  3 Ag 2.75-3.04, 5 Au 2.76-3.04
Tl (0.0000, 0.0000, 0.0000)  6 Ag 3.18, 6 Au 3.39

Computed properties:
Its energy relative to the elements is 55 meV/atom. As for the space group: No. 148.

Record 5
The following is a DFT calculation (PBE) of TlAg6Au5 after structural relaxation.

abc: 4.1824 6.7611 8.2838
angles: 90.00 89.99 72.11
Closest atoms and distances in Å follow each position.
Fractional positions:
Ag (0.1689, 0.6620, 0.2558)  7 Au 2.91-2.98, 4 Ag 2.95-3.02, 1 Tl 3.04
Ag (0.8310, 0.3380, 0.2558)  7 Au 2.91-2.98, 4 Ag 2.95-3.02, 1 Tl 3.04
Ag (0.8311, 0.3380, 0.7442)  7 Au 2.91-2.98, 4 Ag 2.95-3.02, 1 Tl 3.04
Ag (0.5000, 0.0000, 0.7419)  6 Au 2.90-3.07, 2 Tl 2.99, 4 Ag 3.01-3.02
Ag (0.1690, 0.6620, 0.7442)  7 Au 2.91-2.98, 4 Ag 2.95-3.02, 1 Tl 3.04
Ag (0.5000, 0.0000, 0.2581)  6 Au 2.90-3.07, 2 Tl 2.99, 4 Ag 3.01-3.02
Au (0.6660, 0.6682, 0.5000)  8 Ag 2.91-2.93, 4 Au 2.98-3.01
Au (0.0000, 0.0000, 0.5000)  8 Ag 2.90-2.97, 4 Au 2.98-2.99
Au (0.3289, 0.3418, 0.0000)  2 Au 2.92, 8 Ag 2.96-3.07, 2 Tl 3.03-3.04
Au (0.6711, 0.6582, 0.0000)  2 Au 2.92, 8 Ag 2.96-3.07, 2 Tl 3.03-3.04
Au (0.3340, 0.3318, 0.5000)  8 Ag 2.91-2.93, 4 Au 2.98-3.01
Tl (0.0000, 0.0000, 0.0000)  8 Ag 2.99-3.04, 4 Au 3.03-3.04

Computed properties:
Its energy relative to the elements is -4 meV/atom. As for the space group: No. 10.

Record 6
The following is a DFT calculation (PBE) of TlAg2Au8 after structural relaxation.

abc: 4.1363 6.7293 7.9849
angles: 106.16 105.01 90.00
Closest atoms and distances in Å follow each position.
Fractional positions:
Au (0.9495, 0.2829, 0.8990)  9 Au 2.89-3.21, 1 Ag 2.92, 2 Tl 3.06
Au (0.6848, 0.9091, 0.3696)  8 Au 2.90-3.00, 3 Ag 2.97-2.99, 1 Tl 3.08
Au (0.0505, 0.7171, 0.1010)  9 Au 2.89-3.21, 1 Ag 2.92, 2 Tl 3.06
Au (0.8587, 0.8144, 0.7173)  3 Ag 2.91-2.92, 7 Au 2.93-3.21, 2 Tl 3.00
Au (0.1413, 0.1856, 0.2827)  3 Ag 2.91-2.92, 7 Au 2.93-3.21, 2 Tl 3.00
Au (0.3152, 0.0909, 0.6304)  8 Au 2.90-3.00, 3 Ag 2.97-2.99, 1 Tl 3.08
Au (0.5927, 0.4516, 0.1854)  3 Ag 2.92-3.01, 8 Au 2.93-3.11, 1 Tl 2.96
Au (0.4073, 0.5484, 0.8146)  3 Ag 2.92-3.01, 8 Au 2.93-3.11, 1 Tl 2.96
Ag (0.7738, 0.3673, 0.5477)  10 Au 2.91-3.01, 2 Ag 2.96
Ag (0.2262, 0.6327, 0.4523)  10 Au 2.91-3.01, 2 Ag 2.96
Tl (0.5000, 0.0000, 0.0000)  12 Au 2.96-3.08

Computed properties:
Its energy relative to the elements is 11 meV/atom. As for the space group: No. 12.

Record 7
The following is a DFT calculation (PBE) of Tl12Ag3Au5 after structural relaxation.

abc: 14.7323 14.7323 14.7323
angles: 109.47 109.47 109.47
Closest atoms and distances in Å follow each position.
Fractional positions:
Tl (0.2706, 0.4002, 0.8283)  2 Au 2.79-2.91, 1 Ag 2.97
Tl (0.0998, 0.1717, 0.2294)  2 Au 2.79-2.91, 1 Ag 2.97
Tl (0.5577, 0.2294, 0.1296)  2 Au 2.79-2.91, 1 Ag 2.97
Tl (0.9423, 0.3704, 0.2706)  2 Au 2.79-2.91, 1 Ag 2.97
Tl (0.2706, 0.8704, 0.9423)  2 Au 2.79-2.91, 1 Ag 2.97
Tl (0.9281, 0.0998, 0.8704)  2 Au 2.79-2.91, 1 Ag 2.97
Tl (0.5719, 0.9423, 0.6717)  2 Au 2.79-2.91, 1 Ag 2.97
Tl (0.0998, 0.9281, 0.3704)  2 Au 2.79-2.91, 1 Ag 2.97
Tl (0.9002, 0.8283, 0.7706)  2 Au 2.79-2.91, 1 Ag 2.97
Tl (0.3283, 0.5577, 0.4281)  2 Au 2.79-2.91, 1 Ag 2.97
Tl (0.4002, 0.2706, 0.3283)  2 Au 2.79-2.91, 1 Ag 2.97
Tl (0.6717, 0.4423, 0.5719)  2 Au 2.79-2.91, 1 Ag 2.97
Tl (0.9281, 0.8283, 0.5577)  2 Au 2.79-2.91, 1 Ag 2.97
Tl (0.7706, 0.4423, 0.3704)  2 Au 2.79-2.91, 1 Ag 2.97
Tl (0.4281, 0.3704, 0.5998)  2 Au 2.79-2.91, 1 Ag 2.97
Tl (0.5998, 0.7294, 0.6717)  2 Au 2.79-2.91, 1 Ag 2.97
Tl (0.0719, 0.9002, 0.1296)  2 Au 2.79-2.91, 1 Ag 2.97
Tl (0.5998, 0.8704, 0.4281)  2 Au 2.79-2.91, 1 Ag 2.97
Tl (0.7294, 0.1296, 0.0577)  2 Au 2.79-2.91, 1 Ag 2.97
Tl (0.8283, 0.9002, 0.2706)  2 Au 2.79-2.91, 1 Ag 2.97
Tl (0.6296, 0.5719, 0.9002)  2 Au 2.79-2.91, 1 Ag 2.97
Tl (0.3704, 0.4281, 0.0998)  2 Au 2.79-2.91, 1 Ag 2.97
Tl (0.1717, 0.0719, 0.9423)  2 Au 2.79-2.91, 1 Ag 2.97
Tl (0.6296, 0.0577, 0.2294)  2 Au 2.79-2.91, 1 Ag 2.97
Tl (0.7706, 0.3283, 0.9002)  2 Au 2.79-2.91, 1 Ag 2.97
Tl (0.5577, 0.3283, 0.9281)  2 Au 2.79-2.91, 1 Ag 2.97
Tl (0.3283, 0.7706, 0.4002)  2 Au 2.79-2.91, 1 Ag 2.97
Tl (0.8283, 0.9281, 0.0577)  2 Au 2.79-2.91, 1 Ag 2.97
Tl (0.1296, 0.7294, 0.5577)  2 Au 2.79-2.91, 1 Ag 2.97
Tl (0.0577, 0.4281, 0.8283)  2 Au 2.79-2.91, 1 Ag 2.97
Tl (0.9423, 0.5719, 0.1717)  2 Au 2.79-2.91, 1 Ag 2.97
Tl (0.1717, 0.0998, 0.7294)  2 Au 2.79-2.91, 1 Ag 2.97
Tl (0.7294, 0.5998, 0.1717)  2 Au 2.79-2.91, 1 Ag 2.97
Tl (0.4002, 0.1296, 0.5719)  2 Au 2.79-2.91, 1 Ag 2.97
Tl (0.4281, 0.0577, 0.3283)  2 Au 2.79-2.91, 1 Ag 2.97
Tl (0.4423, 0.6717, 0.0719)  2 Au 2.79-2.91, 1 Ag 2.97
Tl (0.2294, 0.5577, 0.6296)  2 Au 2.79-2.91, 1 Ag 2.97
Tl (0.8704, 0.5998, 0.9281)  2 Au 2.79-2.91, 1 Ag 2.97
Tl (0.5719, 0.6296, 0.4002)  2 Au 2.79-2.91, 1 Ag 2.97
Tl (0.3704, 0.9423, 0.7706)  2 Au 2.79-2.91, 1 Ag 2.97
Tl (0.9002, 0.0719, 0.6296)  2 Au 2.79-2.91, 1 Ag 2.97
Tl (0.2294, 0.6717, 0.0998)  2 Au 2.79-2.91, 1 Ag 2.97
Tl (0.6717, 0.2294, 0.5998)  2 Au 2.79-2.91, 1 Ag 2.97
Tl (0.8704, 0.2706, 0.4423)  2 Au 2.79-2.91, 1 Ag 2.97
Tl (0.4423, 0.7706, 0.8704)  2 Au 2.79-2.91, 1 Ag 2.97
Tl (0.0577, 0.6296, 0.7294)  2 Au 2.79-2.91, 1 Ag 2.97
Tl (0.0719, 0.1717, 0.4423)  2 Au 2.79-2.91, 1 Ag 2.97
Tl (0.1296, 0.4002, 0.0719)  2 Au 2.79-2.91, 1 Ag 2.97
Au (0.8750, 0.6250, 0.7500)  4 Tl 2.79
Au (0.5000, 0.5000, 0.0000)  6 Tl 2.91
Au (0.6250, 0.8750, 0.2500)  4 Tl 2.79
Au (0.7500, 0.6250, 0.3750)  4 Tl 2.79
Au (0.3750, 0.1250, 0.7500)  4 Tl 2.79
Au (0.3750, 0.2500, 0.1250)  4 Tl 2.79
Au (0.5000, 0.0000, 0.0000)  6 Tl 2.91
Au (0.1250, 0.7500, 0.3750)  4 Tl 2.79
Au (0.1250, 0.3750, 0.2500)  4 Tl 2.79
Au (0.0000, 0.5000, 0.5000)  6 Tl 2.91
Au (0.7500, 0.1250, 0.8750)  4 Tl 2.79
Au (0.0000, 0.0000, 0.5000)  6 Tl 2.91
Au (0.0000, 0.5000, 0.0000)  6 Tl 2.91
Au (0.5000, 0.0000, 0.5000)  6 Tl 2.91
Au (0.8750, 0.2500, 0.6250)  4 Tl 2.79
Au (0.2500, 0.8750, 0.1250)  4 Tl 2.79
Au (0.6250, 0.7500, 0.8750)  4 Tl 2.79
Au (0.2500, 0.3750, 0.6250)  4 Tl 2.79
Au (0.0000, 0.0000, 0.0000)  6 Tl 2.91
Au (0.5000, 0.5000, 0.5000)  6 Tl 2.91
Ag (0.6250, 0.2500, 0.3750)  8 Tl 2.97-3.29
Ag (0.6250, 0.3750, 0.7500)  8 Tl 2.97-3.29
Ag (0.2500, 0.6250, 0.8750)  8 Tl 2.97-3.29
Ag (0.3750, 0.7500, 0.6250)  8 Tl 2.97-3.29
Ag (0.2500, 0.1250, 0.3750)  8 Tl 2.97-3.29
Ag (0.8750, 0.1250, 0.2500)  8 Tl 2.97-3.29
Ag (0.7500, 0.8750, 0.6250)  8 Tl 2.97-3.29
Ag (0.1250, 0.8750, 0.7500)  8 Tl 2.97-3.29
Ag (0.1250, 0.2500, 0.8750)  8 Tl 2.97-3.29
Ag (0.7500, 0.3750, 0.1250)  8 Tl 2.97-3.29
Ag (0.3750, 0.6250, 0.2500)  8 Tl 2.97-3.29
Ag (0.8750, 0.7500, 0.1250)  8 Tl 2.97-3.29

Computed properties:
Its energy relative to the elements is 152 meV/atom. As for the space group: No. 230.

Record 8
The following is a DFT calculation (PBE) of TlAgAu2 after structural relaxation.

abc: 4.6133 4.6133 5.5875
angles: 65.62 65.62 60.00
Closest atoms and distances in Å follow each position.
Fractional positions:
Au (0.0661, 0.0661, 0.8016)  3 Ag 2.78, 3 Tl 2.95, 1 Au 3.00
Au (0.2698, 0.2698, 0.1907)  3 Ag 2.89, 1 Au 3.00, 4 Tl 3.18
Tl (0.4856, 0.4856, 0.5432)  1 Ag 2.84, 7 Au 2.95-3.18
Ag (0.6785, 0.6785, 0.9645)  6 Au 2.78-2.89, 1 Tl 2.84

Computed properties:
Its energy relative to the elements is 109 meV/atom. For the distance to the lowest polymorph of the same formula, the calculation gives 57.8 meV/atom. As for the space group: No. 160.

Q: Which value of energy relative to the elements does entry 5 give?
A: -4 meV/atom